1.
The following is a GGA-PBEsol calculation of a relaxed K2ZrP crystal, from the Alexandria database.

Cell: 3.654 3.654 10.460 Å, 90.00 90.00 90.00°
Sites, in units of the cell vectors:
K1 0.000 0.000 0.000
K2 0.500 0.500 0.380
Zr1 0.500 0.500 0.710
P1 0.000 0.000 0.689

Computed properties:
- total DFT energy (no corrections) (eV for the cell shown) = -18.09


2.
The following is a GGA-PBEsol calculation of a relaxed KZrP crystal, from the Alexandria database.

Cell: 4.639 4.639 4.639 Å, 60.00 60.00 60.00°
Sites, in units of the cell vectors:
K1 0.000 0.000 0.000
Zr1 0.500 0.500 0.500
P1 0.750 0.750 0.750

Computed properties:
- total DFT energy (no corrections) (eV for the cell shown) = -15.37


3.
The following is a GGA-PBEsol calculation of a relaxed K8Pb crystal, from the Alexandria database.

Cell: 9.539 9.539 9.539 Å, 96.20 96.20 141.61°
Sites, in units of the cell vectors:
K1 0.000 0.306 0.306
K2 0.000 0.694 0.694
K3 0.306 0.000 0.306
K4 0.353 0.353 0.707
K5 0.353 0.647 0.000
K6 0.647 0.353 0.000
K7 0.647 0.647 0.293
K8 0.694 0.000 0.694
Pb1 0.000 0.000 0.000

Computed properties:
- total DFT energy (no corrections) (eV for the cell shown) = -13.00


4.
The following is a GGA-PBEsol calculation of a relaxed K3Pb crystal, from the Alexandria database.

Cell: 10.732 11.166 6.220 Å, 90.00 90.00 90.00°
Sites, in units of the cell vectors:
K1 0.001 0.250 0.000
K2 0.167 0.078 0.500
K3 0.167 0.422 0.500
K4 0.333 0.578 0.000
K5 0.333 0.922 0.000
K6 0.499 0.750 0.500
K7 0.501 0.250 0.500
K8 0.667 0.078 0.000
K9 0.667 0.422 0.000
K10 0.833 0.578 0.500
K11 0.833 0.922 0.500
K12 0.999 0.750 0.000
Pb1 0.166 0.750 0.499
Pb2 0.334 0.250 0.999
Pb3 0.666 0.750 0.001
Pb4 0.834 0.250 0.501

Computed properties:
- total DFT energy (no corrections) (eV for the cell shown) = -30.46


5.
The following is a GGA-PBEsol calculation of a relaxed K5Pb24 crystal, from the Alexandria database.

Cell: 10.594 10.594 10.594 Å, 109.47 109.47 109.47°
Sites, in units of the cell vectors:
K1 0.000 0.000 0.000
K2 0.000 0.000 0.641
K3 0.000 0.641 0.000
K4 0.359 0.359 0.359
K5 0.641 0.000 0.000
Pb1 0.000 0.198 0.389
Pb2 0.000 0.389 0.198
Pb3 0.000 0.402 0.681
Pb4 0.000 0.681 0.402
Pb5 0.191 0.802 0.802
Pb6 0.198 0.000 0.389
Pb7 0.198 0.389 0.000
Pb8 0.279 0.598 0.598
Pb9 0.319 0.319 0.721
Pb10 0.319 0.721 0.319
Pb11 0.389 0.000 0.198
Pb12 0.389 0.198 0.000
Pb13 0.402 0.000 0.681
Pb14 0.402 0.681 0.000
Pb15 0.598 0.279 0.598
Pb16 0.598 0.598 0.279
Pb17 0.611 0.611 0.809
Pb18 0.611 0.809 0.611
Pb19 0.681 0.000 0.402
Pb20 0.681 0.402 0.000
Pb21 0.721 0.319 0.319
Pb22 0.802 0.191 0.802
Pb23 0.802 0.802 0.191
Pb24 0.809 0.611 0.611

Computed properties:
- total DFT energy (no corrections) (eV for the cell shown) = -104.58


6.
The following is a GGA-PBEsol calculation of a relaxed KPb2 crystal, from the Alexandria database.

Cell: 7.355 7.355 7.833 Å, 105.54 105.54 29.29°
Sites, in units of the cell vectors:
K1 0.008 0.008 0.262
K2 0.992 0.992 0.738
Pb1 0.306 0.306 0.387
Pb2 0.321 0.321 0.928
Pb3 0.679 0.679 0.072
Pb4 0.694 0.694 0.613

Computed properties:
- total DFT energy (no corrections) (eV for the cell shown) = -18.95


7.
The following is a GGA-PBEsol calculation of a relaxed KPb2 crystal, from the Alexandria database.

Cell: 5.597 5.597 3.492 Å, 90.00 90.00 120.00°
Sites, in units of the cell vectors:
K1 0.000 0.000 0.000
Pb1 0.333 0.667 0.496
Pb2 0.667 0.333 0.504

Computed properties:
- total DFT energy (no corrections) (eV for the cell shown) = -9.46


8.
The following is a GGA-PBEsol calculation of a relaxed K3Pb crystal, from the Alexandria database.

Cell: 6.201 6.201 6.201 Å, 60.00 60.00 60.00°
Sites, in units of the cell vectors:
K1 0.000 0.000 0.000
K2 0.250 0.250 0.250
K3 0.750 0.750 0.750
Pb1 0.500 0.500 0.500

Computed properties:
- total DFT energy (no corrections) (eV for the cell shown) = -7.54


9.
The following is a GGA-PBEsol calculation of a relaxed K3Pb crystal, from the Alexandria database.

Cell: 6.742 6.742 6.742 Å, 133.89 128.71 71.42°
Sites, in units of the cell vectors:
K1 0.000 0.000 0.000
K2 0.254 0.754 0.500
K3 0.746 0.246 0.500
Pb1 0.500 0.500 0.000

Computed properties:
- total DFT energy (no corrections) (eV for the cell shown) = -7.53


10.
The following is a GGA-PBEsol calculation of a relaxed KPb2 crystal, from the Alexandria database.

Cell: 7.241 5.131 10.394 Å, 90.00 90.00 90.00°
Sites, in units of the cell vectors:
K1 0.134 0.250 0.078
K2 0.366 0.750 0.578
K3 0.634 0.250 0.422
K4 0.866 0.750 0.922
Pb1 0.063 0.250 0.721
Pb2 0.126 0.250 0.416
Pb3 0.374 0.750 0.916
Pb4 0.437 0.750 0.221
Pb5 0.563 0.250 0.779
Pb6 0.626 0.250 0.084
Pb7 0.874 0.750 0.584
Pb8 0.937 0.750 0.279

Computed properties:
- total DFT energy (no corrections) (eV for the cell shown) = -37.84


11.
The following is a GGA-PBEsol calculation of a relaxed KPb2 crystal, from the Alexandria database.

Cell: 6.609 6.609 10.701 Å, 90.00 90.00 120.00°
Sites, in units of the cell vectors:
K1 0.333 0.667 0.064
K2 0.333 0.667 0.436
K3 0.667 0.333 0.564
K4 0.667 0.333 0.936
Pb1 0.000 0.000 0.000
Pb2 0.000 0.000 0.500
Pb3 0.168 0.335 0.750
Pb4 0.168 0.832 0.750
Pb5 0.335 0.168 0.250
Pb6 0.665 0.832 0.750
Pb7 0.832 0.168 0.250
Pb8 0.832 0.665 0.250

Computed properties:
- total DFT energy (no corrections) (eV for the cell shown) = -38.69


12.
The following is a GGA-PBEsol calculation of a relaxed KPb2 crystal, from the Alexandria database.

Cell: 7.389 7.389 7.389 Å, 150.09 150.09 42.80°
Sites, in units of the cell vectors:
K1 0.000 0.000 0.000
Pb1 0.313 0.313 0.000
Pb2 0.687 0.687 0.000

Computed properties:
- total DFT energy (no corrections) (eV for the cell shown) = -9.47


no.,formation enthalpy at 0 K (eV per atom)
1,-0.235
2,0.214
3,0.008
4,-0.054
5,-0.102
6,-0.115
7,-0.109
8,-0.035
9,-0.032
10,-0.110
11,-0.180
12,-0.115